[1]
A plane-wave DFT calculation with PBE-GGA was carried out for a relaxed structure of KBeTl3.

Output
- Final energy: -0.085 Ry per atom
- Calculated formation energy: 1229.7 meV/atom

The structure in extended XYZ format:
```
5
Lattice="6.288 0.000 0.000 0.000 6.288 0.000 0.000 0.000 6.288" Properties=species:S:1:pos:R:3 pbc="T T T"
K 0.000 0.000 0.000
Be 3.144 3.144 3.144
Tl 0.000 0.000 3.144
Tl 0.000 3.144 0.000
Tl 3.144 0.000 0.000
```

[2]
A plane-wave DFT calculation with PBE-GGA was carried out for a relaxed structure of KBeTl2.

Output
- Final energy: -0.135 Ry per atom
- Calculated formation energy: 551.7 meV/atom

The structure in extended XYZ format:
```
4
Lattice="4.956 0.000 0.000 0.000 4.956 0.000 0.000 0.000 4.635" Properties=species:S:1:pos:R:3 pbc="T T T"
K 0.000 0.000 0.000
Be 2.478 2.478 0.000
Tl 0.000 2.478 2.318
Tl 2.478 0.000 2.318
```

[3]
A plane-wave DFT calculation with PBE-GGA was carried out for a relaxed structure of KBeTl2.

Output
- Final energy: -0.158 Ry per atom
- Calculated formation energy: 240.3 meV/atom

The structure in extended XYZ format:
```
8
Lattice="7.596 0.000 0.000 0.000 4.382 0.000 -2.508 0.000 7.167" Properties=species:S:1:pos:R:3 pbc="T T T"
K 0.000 0.000 0.000
K 3.798 2.191 0.000
Be 0.014 0.000 3.980
Be 3.812 2.191 3.980
Tl -1.251 2.191 4.635
Tl 1.277 2.191 2.570
Tl 2.547 0.000 4.635
Tl 5.075 0.000 2.570
```